Material: FeSbI2O
Method: DFT, PBE+U
State: optimized geometry

Unit cell a=5.898 b=5.898 c=3.682 alpha=90.00 beta=90.00 gamma=90.00
Space group P4/mmm (No. 123)
Inequivalent atoms, fractional coordinates:
Fe: 0.000 0.000 0.000 x1
Sb: 0.500 0.500 0.500 x1
I: 0.000 0.500 0.000 x2
O: 0.000 0.000 0.500 x1

Properties
For the distance to the lowest polymorph of the same formula, the calculation gives 0.0000 eV per atom. The calculated volume is 25.61 Å³ per atom. Its total energy is -3.662 eV per atom.